Entry 1:
Material: LaThNi3
Method: DFT, GGA-PBE
State: relaxed

The structure in POSCAR format:
```
LaThNi3
1.0
1.935 -12.761 0.000
1.935 12.761 0.000
0.000 0.000 4.097
La Th Ni
2 2 6
Direct
0.070 0.930 0.750 La
0.930 0.070 0.250 La
0.199 0.801 0.250 Th
0.801 0.199 0.750 Th
0.317 0.683 0.250 Ni
0.380 0.620 0.750 Ni
0.475 0.525 0.750 Ni
0.525 0.475 0.250 Ni
0.620 0.380 0.250 Ni
0.683 0.317 0.750 Ni
```

Summary:
As for the size of the total moment: 0.00 μB per cell. As for the final energy: -63.254 eV/cell.

***

Entry 2:
Material: LaTh2Ni6
Method: DFT, GGA-PBE
State: relaxed

The structure in POSCAR format:
```
LaTh2Ni6
1.0
7.123 0.000 0.000
-3.561 6.168 0.000
0.000 0.000 3.822
La Th Ni
1 2 6
Direct
0.000 0.000 0.000 La
0.333 0.667 0.000 Th
0.667 0.333 0.000 Th
0.000 0.337 0.500 Ni
0.000 0.663 0.500 Ni
0.337 0.000 0.500 Ni
0.337 0.337 0.500 Ni
0.663 0.000 0.500 Ni
0.663 0.663 0.500 Ni
```

Summary:
As for the excess energy over the best structure of this formula in the dataset: 0.000 eV/atom. As for the size of the total moment: 0.00 μB per cell.

***

Entry 3:
Material: LaThNi2
Method: DFT, GGA-PBE
State: relaxed

The structure in POSCAR format:
```
LaThNi2
1.0
0.000 3.517 3.517
3.517 0.000 3.517
3.517 3.517 0.000
La Th Ni
1 1 2
Direct
0.000 0.000 0.000 La
0.500 0.500 0.500 Th
0.250 0.250 0.250 Ni
0.750 0.750 0.750 Ni
```

Summary:
As for the excess energy over the best structure of this formula in the dataset: 0.148 eV/atom. As for the size of the total moment: 0.00 μB per cell.

***

Entry 4:
Material: LaThNi
Method: DFT, GGA-PBE
State: relaxed

The structure in POSCAR format:
```
LaThNi
1.0
0.000 8.412 3.309
5.865 0.000 3.309
5.865 8.412 0.000
La Th Ni
4 4 4
Direct
0.112 0.888 0.338 La
0.588 0.912 0.362 La
0.888 0.112 0.662 La
0.912 0.588 0.138 La
0.068 0.431 0.754 Th
0.431 0.068 0.747 Th
0.496 0.503 0.182 Th
0.503 0.496 0.819 Th
0.065 0.207 0.066 Ni
0.184 0.588 0.185 Ni
0.207 0.065 0.662 Ni
0.588 0.184 0.043 Ni
```

Summary:
As for the excess energy over the best structure of this formula in the dataset: 0.096 eV/atom. As for the size of the total moment: 0.00 μB per cell.

***

Entry 5:
Material: LaTh2Ni9
Method: DFT, GGA-PBE
State: relaxed

The structure in POSCAR format:
```
LaTh2Ni9
1.0
5.041 0.000 0.000
-2.521 4.366 0.000
0.000 0.000 16.661
La Th Ni
2 4 18
Direct
0.333 0.667 0.250 La
0.667 0.333 0.750 La
0.333 0.667 0.045 Th
0.333 0.667 0.455 Th
0.667 0.333 0.545 Th
0.667 0.333 0.955 Th
0.000 0.000 0.000 Ni
0.000 0.000 0.250 Ni
0.000 0.000 0.500 Ni
0.000 0.000 0.750 Ni
0.167 0.334 0.626 Ni
0.167 0.334 0.874 Ni
0.167 0.833 0.626 Ni
0.167 0.833 0.874 Ni
0.333 0.667 0.750 Ni
0.334 0.167 0.126 Ni
0.334 0.167 0.374 Ni
0.666 0.833 0.626 Ni
0.666 0.833 0.874 Ni
0.667 0.333 0.250 Ni
0.833 0.167 0.126 Ni
0.833 0.167 0.374 Ni
0.833 0.666 0.126 Ni
0.833 0.666 0.374 Ni
```

Summary:
As for the size of the total moment: 0.00 μB per cell. As for the final energy: -152.855 eV/cell.

***

Entry 6:
Material: LaTh2Ni9
Method: DFT, GGA-PBE
State: relaxed

The structure in POSCAR format:
```
LaTh2Ni9
1.0
2.521 1.456 8.332
-2.521 1.456 8.332
0.000 -2.911 8.332
La Th Ni
1 2 9
Direct
0.000 0.000 0.000 La
0.137 0.137 0.137 Th
0.863 0.863 0.863 Th
0.081 0.584 0.584 Ni
0.333 0.333 0.333 Ni
0.416 0.416 0.919 Ni
0.416 0.919 0.416 Ni
0.500 0.500 0.500 Ni
0.584 0.081 0.584 Ni
0.584 0.584 0.081 Ni
0.667 0.667 0.667 Ni
0.919 0.416 0.416 Ni
```

Summary:
As for the size of the total moment: 0.00 μB per cell. As for the final energy: -76.432 eV/cell.